# Li2CuNiF8 (PBE+U, optimized geometry)
data_Li2CuNiF8
_chemical_formula_sum 'Li2 Cu1 Ni1 F8'
_symmetry_space_group_name_H-M 'P 1 2/m 1'
_symmetry_Int_Tables_number 10
_cell_length_a 4.673
_cell_length_b 6.009
_cell_length_c 4.682
_cell_angle_alpha 90.00
_cell_angle_beta 94.23
_cell_angle_gamma 90.00
loop_
_symmetry_equiv_pos_as_xyz
'x,y,z'
'-x,-y,-z'
'-x,y,-z'
'x,-y,z'
loop_
_atom_site_label
_atom_site_type_symbol
_atom_site_fract_x
_atom_site_fract_y
_atom_site_fract_z
_atom_site_occupancy
Li1 Li 0.000 0.247 0.000 1
Cu1 Cu 0.500 0.000 0.500 1
Ni1 Ni 0.500 0.500 0.500 1
F1 F 0.205 0.000 0.203 1
F2 F 0.209 0.500 0.208 1
F3 F 0.315 0.250 0.684 1
# - Theoretical density: 3.65 g/cm³
# - Spin magnetization: 0.42 μB per atom
# - VASP energy: -4.135 eV/atom
# - Density of states at the Fermi level: 0.9 states/eV/cell
# - Volume: 131 Å³ per cell